Material: HoThUO6
Method: DFT, PBE
State: relaxed

Calculated values
The value obtained for the formation energy (no corrections) is -3.473 eV per atom.

Geometry as CIF:
```
data_HoThUO6
_chemical_formula_sum 'Ho2 Th2 U2 O12'
_cell_length_a 5.7959
_cell_length_b 5.7959
_cell_length_c 9.7390
_cell_angle_alpha 90.00
_cell_angle_beta 90.00
_cell_angle_gamma 120.00
_symmetry_space_group_name_H-M 'P -3 1 c'
_symmetry_Int_Tables_number 163
_symmetry_space_group_name_Hall '-P 3 2c'
loop_
_atom_site_label
_atom_site_type_symbol
_atom_site_fract_x
_atom_site_fract_y
_atom_site_fract_z
Ho1 Ho 0.3333 0.6667 0.2500
Th1 Th 0.0000 0.0000 0.0000
U1 U 0.3333 0.6667 0.7500
O1 O 0.0141 0.3478 0.6340
```



Material: Ho2TiO5
Method: DFT, PBE
State: relaxed

Calculated values
The relative energy among the computed polymorphs comes out at 0.096 eV/atom. The value obtained for the formation energy (no corrections) is -3.365 eV per atom.

Geometry as CIF:
```
data_Ho2TiO5
_chemical_formula_sum 'Ho8 Ti4 O20'
_cell_length_a 11.728
_cell_length_b 5.263
_cell_length_c 7.505
_cell_angle_alpha 90.00
_cell_angle_beta 114.05
_cell_angle_gamma 90.00
_symmetry_space_group_name_H-M 'C 1 2/c 1'
_symmetry_Int_Tables_number 15
_symmetry_space_group_name_Hall '-C 2yc'
loop_
_atom_site_label
_atom_site_type_symbol
_atom_site_fract_x
_atom_site_fract_y
_atom_site_fract_z
Ho1 Ho 0.140 0.013 0.260
Ti1 Ti 0.000 0.500 0.000
O1 O 0.000 0.335 0.250
O2 O 0.073 0.183 0.960
O3 O 0.169 0.349 0.639
```